! Cd2HPdRh GGA-PBE relaxed; values from VASP
! volume = 14.5 Å³/atom
! crystal system = tetragonal
! energy relative to the lowest polymorph listed for this composition = 0.0000 eV per atom
&SYSTEM
  ibrav = 0, nat = 5, ntyp = 4
/
ATOMIC_SPECIES
Rh 102.91 Rh.upf
Cd 112.41 Cd.upf
H 1.01 H.upf
Pd 106.42 Pd.upf
ATOMIC_POSITIONS angstrom
Rh 0.7544 -1.2625 0.8739
Cd 1.3018 -0.4923 -1.8350
Cd -1.6057 -1.4742 -0.7436
H 0.0000 0.0000 0.0000
Pd 0.4506 -3.2289 -1.7048
CELL_PARAMETERS angstrom
-3.2113 -2.9483 -1.4873
2.6036 -0.9845 -3.6700
1.5088 -2.5250 1.7477